1.
DFT (GGA-PBEsol) results for MnNiW3 after structural relaxation.

```
5
Lattice="4.418 0.000 0.000 0.000 4.418 0.000 0.000 0.000 4.418" Properties=species:S:1:pos:R:3 pbc="T T T"
Mn 0.000 0.000 0.000
Ni 2.209 2.209 2.209
W 0.000 2.209 2.209
W 2.209 0.000 2.209
W 2.209 2.209 0.000
```

Computed properties:
- volume (Å³/cell) = 86
- SG = Pm-3m
- DFT formation energy (eV/atom) = 1.73



2.
DFT (GGA-PBEsol) results for Ag6Te4W3O20 after structural relaxation.

```
66
Lattice="14.751 -3.327 0.000 14.751 3.327 0.000 -0.259 0.000 9.405" Properties=species:S:1:pos:R:3 pbc="T T T"
Ag 5.630 1.309 9.131
Ag 11.559 2.312 2.858
Ag 13.784 2.681 5.615
Ag 15.329 2.681 8.492
Ag 17.814 2.312 1.844
Ag 5.759 -1.309 4.429
Ag 23.484 1.309 4.976
Ag 11.429 -2.312 7.561
Ag 13.914 -2.681 0.912
Ag 15.459 -2.681 3.790
Ag 17.685 -2.312 6.547
Ag 23.614 -1.309 0.273
Te 7.980 1.027 3.317
Te 12.094 0.976 9.058
Te 7.851 -1.027 8.020
Te 17.020 0.976 5.049
Te 12.224 -0.976 4.356
Te 21.393 1.027 1.385
Te 17.149 -0.976 0.347
Te 21.263 -1.027 6.088
W 9.688 1.292 6.178
W 14.686 0.405 2.351
W 19.426 1.292 7.930
W 9.818 -1.292 1.475
W 14.557 -0.405 7.054
W 19.555 -1.292 3.227
O 12.288 2.628 0.521
O 10.961 2.106 7.131
O 10.007 1.722 4.426
O 6.128 0.401 3.087
O 8.493 0.825 7.801
O 7.794 0.584 5.217
O 17.085 2.628 4.181
O 13.655 1.512 3.291
O 5.998 -0.401 7.790
O 13.672 1.325 8.011
O 10.344 0.437 1.470
O 18.153 2.106 6.977
O 15.717 1.512 1.411
O 15.442 1.325 6.096
O 7.924 -0.584 0.515
O 19.366 1.722 0.277
O 10.214 -0.437 6.172
O 8.623 -0.825 3.098
O 13.323 0.007 1.037
O 13.194 -0.007 5.740
O 16.050 0.007 3.665
O 15.920 -0.007 8.368
O 20.620 0.825 6.307
O 19.029 0.437 3.233
O 9.877 -1.722 9.128
O 21.319 0.584 8.890
O 13.801 -1.325 3.308
O 13.526 -1.512 7.994
O 11.090 -2.106 2.428
O 18.900 -0.437 7.935
O 15.572 -1.325 1.394
O 23.245 0.401 1.615
O 15.588 -1.512 6.114
O 12.158 -2.628 5.223
O 21.449 -0.584 4.188
O 20.750 -0.825 1.604
O 23.116 -0.401 6.317
O 19.237 -1.722 4.979
O 18.283 -2.106 2.274
O 16.955 -2.628 8.884
```

Computed properties:
- volume (Å³/cell) = 923
- ΔE_f (raw) (eV/atom) = -1.15
- SG = C2/c



3.
DFT (GGA-PBEsol) results for Ba2CaI6 after structural relaxation.

```
18
Lattice="7.739 0.000 0.000 0.000 7.739 0.000 0.000 0.000 15.024" Properties=species:S:1:pos:R:3 pbc="T T T"
Ba 0.000 0.000 2.503
Ba 0.000 0.000 12.521
Ba 3.869 3.869 5.009
Ba 3.869 3.869 10.015
Ca 0.000 0.000 7.512
Ca 3.869 3.869 0.000
I 1.470 1.470 5.216
I 1.470 1.470 9.808
I 1.648 1.648 0.000
I 2.222 5.517 7.512
I 2.399 5.339 2.296
I 2.399 5.339 12.728
I 5.339 2.399 2.296
I 5.339 2.399 12.728
I 5.517 2.222 7.512
I 6.091 6.091 0.000
I 6.269 6.269 5.216
I 6.269 6.269 9.808
```

Computed properties:
- volume (Å³/cell) = 900
- ΔE_f (raw) (eV/atom) = -1.65
- SG = P4_2/mnm



4.
DFT (GGA-PBEsol) results for ScRe2Au after structural relaxation.

```
4
Lattice="1.433 0.827 9.146 -1.433 0.827 9.146 0.000 -1.654 9.146" Properties=species:S:1:pos:R:3 pbc="T T T"
Sc 0.000 0.000 0.000
Re 0.000 0.000 6.825
Re 0.000 0.000 13.936
Au 0.000 0.000 20.670
```

Computed properties:
- volume (Å³/cell) = 65
- SG = R3m
- ΔE to the lowest computed polymorph (meV per atom) = 0
- DFT formation energy (eV/atom) = 0.07



5.
DFT (GGA-PBEsol) results for SrAl2F after structural relaxation.

```
4
Lattice="0.000 3.576 3.576 3.576 0.000 3.576 3.576 3.576 0.000" Properties=species:S:1:pos:R:3 pbc="T T T"
Sr 0.000 0.000 0.000
Al 1.788 1.788 1.788
Al 5.364 5.364 5.364
F 3.576 3.576 3.576
```

Computed properties:
- volume (Å³/cell) = 91
- ΔE_f (raw) (eV/atom) = -0.09
- SG = Fm-3m



6.
DFT (GGA-PBEsol) results for Li2TiCr3O8 after structural relaxation.

```
14
Lattice="2.914 1.683 4.712 -2.914 1.683 4.712 0.000 -3.365 4.712" Properties=species:S:1:pos:R:3 pbc="T T T"
Li 0.000 0.000 1.760
Li 0.000 0.000 12.378
Ti 0.000 0.000 7.069
Cr -1.457 -0.841 4.712
Cr -1.457 0.841 9.425
Cr 0.000 1.683 4.712
O 0.000 -1.523 5.825
O -1.319 0.762 5.825
O 0.000 0.000 3.724
O -1.319 -0.762 8.312
O 1.319 0.762 5.825
O 0.000 0.000 10.413
O 1.319 -0.762 8.312
O 0.000 1.523 8.312
```

Computed properties:
- volume (Å³/cell) = 139
- ΔE_f (raw) (eV/atom) = -2.26
- SG = R-3m
- ΔE to the lowest computed polymorph (meV per atom) = 0



- volume of number 3 (Ba2CaI6)?
  900 Å³/cell